(1)
Computed, not measured: an optimized crystal structure of Pm4TlInH at the PBE level of DFT.

## Properties
Raw total energy in eV/atom: -4.283
Spin magnetization in μB/cell: 0.00

a b c (Å): 9.2908 9.2908 6.6529
angles (deg): 90.00 90.00 138.12
Closest atoms and distances in Å follow each position.
Fractional coordinates of all 14 atoms:
Pm 0.0000 0.5000 0.0000  2 H 2.46
Pm 0.0000 0.5000 0.5000  2 H 2.46
Pm 0.0706 0.9294 0.7500  3 Tl 3.19-3.41, 2 In 3.41
Pm 0.4288 0.5712 0.7500  1 H 2.38
Pm 0.5000 0.0000 0.0000  2 H 2.46
Pm 0.5000 0.0000 0.5000  2 H 2.46
Pm 0.5712 0.4288 0.2500  1 H 2.38
Pm 0.9294 0.0706 0.2500  3 Tl 3.19-3.41, 2 In 3.41
Tl 0.1130 0.8870 0.2500  9 Pm 3.19-3.41
Tl 0.8870 0.1130 0.7500  9 Pm 3.19-3.41
In 0.3857 0.6143 0.2500  9 Pm 3.22-3.41
In 0.6143 0.3857 0.7500  9 Pm 3.22-3.41
H 0.2915 0.7085 0.7500  5 Pm 2.38-2.46
H 0.7085 0.2915 0.2500  5 Pm 2.38-2.46

***

(2)
Computed, not measured: an optimized crystal structure of Rb2NbAgSn at the PBE level of DFT.

## Properties
Raw total energy in eV/atom: -2.692
Spin magnetization in μB/cell: 2.15

a b c (Å): 6.3315 6.3315 5.4883
angles (deg): 90.00 90.00 90.00
Closest atoms and distances in Å follow each position.
Fractional coordinates of all 5 atoms:
Rb 0.0000 0.5000 0.0000  2 Ag 3.17
Rb 0.5000 0.0000 0.0000  2 Ag 3.17
Nb 0.0000 0.0000 0.5000  2 Ag 2.74
Ag 0.0000 0.0000 0.0000  2 Nb 2.74
Sn 0.5000 0.5000 0.5000  8 Rb 4.19, 4 Nb 4.48

***

(3)
Computed, not measured: an optimized crystal structure of Ac2Si2MoN6 at the PBE level of DFT.

## Properties
Raw total energy in eV/atom: -8.070
Spin magnetization in μB/cell: 0.00

a b c (Å): 6.6547 6.6547 6.6547
angles (deg): 50.47 50.47 50.47
Closest atoms and distances in Å follow each position.
Fractional coordinates of all 11 atoms:
Ac 0.2420 0.2420 0.2420  9 N 2.84-2.94, 1 Si 3.07
Ac 0.7580 0.7580 0.7580  9 N 2.84-2.94, 1 Si 3.07
Si 0.0654 0.0654 0.0654  3 N 1.72
Si 0.9346 0.9346 0.9346  3 N 1.72
Mo 0.5000 0.5000 0.5000  6 N 2.03
N 0.2275 0.7360 0.7360  1 Si 1.72
N 0.2640 0.2640 0.7725  1 Si 1.72
N 0.2640 0.7725 0.2640  1 Si 1.72
N 0.7360 0.2275 0.7360  1 Si 1.72
N 0.7360 0.7360 0.2275  1 Si 1.72
N 0.7725 0.2640 0.2640  1 Si 1.72

***

(4)
Computed, not measured: an optimized crystal structure of PuCdO at the PBE level of DFT.

## Properties
ΔE to the lowest computed polymorph in meV/atom: 0.0
Spin magnetization in μB/cell: 11.06

a b c (Å): 10.3640 10.3640 10.3640
angles (deg): 21.49 21.49 21.49
Closest atoms and distances in Å follow each position.
Fractional coordinates of all 6 atoms:
Pu 0.2139 0.2139 0.2139  4 O 2.29-2.35
Pu 0.7861 0.7861 0.7861  4 O 2.29-2.35
Cd 0.3668 0.3668 0.3668  3 Cd 3.02
Cd 0.6332 0.6332 0.6332  3 Cd 3.02
O 0.1365 0.1365 0.1365  4 Pu 2.29-2.35
O 0.8635 0.8635 0.8635  4 Pu 2.29-2.35

***

(5)
Computed, not measured: an optimized crystal structure of AlFe5Pt6 at the PBE level of DFT.

## Properties
Raw total energy in eV/atom: -7.244
Spin magnetization in μB/cell: 16.62

a b c (Å): 6.1859 6.1859 7.4146
angles (deg): 90.00 90.00 143.27
Closest atoms and distances in Å follow each position.
Fractional coordinates of all 12 atoms:
Al 0.0000 0.0000 0.0000  8 Pt 2.64-2.71, 4 Fe 2.84
Fe 0.0000 0.0000 0.5000  8 Pt 2.68-2.74, 4 Fe 2.74
Fe 0.3241 0.6759 0.0000  2 Fe 2.61, 8 Pt 2.63-2.73, 2 Al 2.84
Fe 0.3355 0.6645 0.5000  8 Pt 2.67-2.73, 4 Fe 2.74-2.80
Fe 0.6645 0.3355 0.5000  8 Pt 2.67-2.73, 4 Fe 2.74-2.80
Fe 0.6759 0.3241 0.0000  2 Fe 2.61, 8 Pt 2.63-2.73, 2 Al 2.84
Pt 0.1669 0.8331 0.2531  7 Fe 2.63-2.71, 1 Al 2.71, 4 Pt 2.76-2.77
Pt 0.1669 0.8331 0.7469  7 Fe 2.63-2.71, 1 Al 2.71, 4 Pt 2.76-2.77
Pt 0.5000 0.5000 0.2400  2 Al 2.64, 6 Fe 2.73-2.74, 4 Pt 2.77
Pt 0.5000 0.5000 0.7600  2 Al 2.64, 6 Fe 2.73-2.74, 4 Pt 2.77
Pt 0.8331 0.1669 0.2531  7 Fe 2.63-2.71, 1 Al 2.71, 4 Pt 2.76-2.77
Pt 0.8331 0.1669 0.7469  7 Fe 2.63-2.71, 1 Al 2.71, 4 Pt 2.76-2.77

***

(6)
Computed, not measured: an optimized crystal structure of TbIn2Hg8 at the PBE level of DFT.

## Properties
Raw total energy in eV/atom: -1.252
Spin magnetization in μB/cell: 0.00

a b c (Å): 8.6941 8.6941 7.3829
angles (deg): 107.76 107.76 31.81
Closest atoms and distances in Å follow each position.
Fractional coordinates of all 11 atoms:
Tb 0.0000 0.0000 0.0000  12 Hg 3.22-3.33
In 0.2736 0.2736 0.3537  10 Hg 3.21-3.40, 2 In 3.47
In 0.7264 0.7264 0.6463  10 Hg 3.21-3.40, 2 In 3.47
Hg 0.0917 0.0917 0.4547  8 Hg 3.16-3.45, 1 Tb 3.22, 3 In 3.28-3.35
Hg 0.1748 0.1748 0.9037  8 Hg 3.16-3.43, 3 In 3.21-3.33, 1 Tb 3.22
Hg 0.3583 0.3583 0.8192  7 Hg 3.20-3.40, 3 In 3.22-3.28, 2 Tb 3.33
Hg 0.4615 0.4615 0.2664  9 Hg 3.20-3.45, 2 Tb 3.28, 1 In 3.40
Hg 0.5385 0.5385 0.7336  9 Hg 3.20-3.45, 2 Tb 3.28, 1 In 3.40
Hg 0.6417 0.6417 0.1808  7 Hg 3.20-3.40, 3 In 3.22-3.28, 2 Tb 3.33
Hg 0.8252 0.8252 0.0963  8 Hg 3.16-3.43, 3 In 3.21-3.33, 1 Tb 3.22
Hg 0.9083 0.9083 0.5453  8 Hg 3.16-3.45, 1 Tb 3.22, 3 In 3.28-3.35

***

(7)
Computed, not measured: an optimized crystal structure of Rb3NaNi2Cl8 at the PBE level of DFT.

## Properties
Raw total energy in eV/atom: -3.483
Spin magnetization in μB/cell: 4.00

a b c (Å): 7.2139 7.2139 9.3754
angles (deg): 90.00 90.00 120.00
Closest atoms and distances in Å follow each position.
Fractional coordinates of all 14 atoms:
Rb 0.0000 0.0000 0.0000  6 Cl 3.66
Rb 0.3333 0.6667 0.6247  4 Cl 3.22-3.53
Rb 0.6667 0.3333 0.3753  4 Cl 3.22-3.53
Na 0.0000 0.0000 0.5000  6 Cl 2.77
Ni 0.3333 0.6667 0.2024  4 Cl 2.19-2.27
Ni 0.6667 0.3333 0.7976  4 Cl 2.19-2.27
Cl 0.1728 0.3457 0.3147  1 Ni 2.27
Cl 0.1728 0.8272 0.3147  1 Ni 2.27
Cl 0.3333 0.6667 0.9684  1 Ni 2.19
Cl 0.3457 0.1728 0.6853  1 Ni 2.27
Cl 0.6543 0.8272 0.3147  1 Ni 2.27
Cl 0.6667 0.3333 0.0316  1 Ni 2.19
Cl 0.8272 0.1728 0.6853  1 Ni 2.27
Cl 0.8272 0.6543 0.6853  1 Ni 2.27

***

(8)
Computed, not measured: an optimized crystal structure of YZr2Cd2 at the PBE level of DFT.

## Properties
ΔE to the lowest computed polymorph in meV/atom: 257.8
Spin magnetization in μB/cell: 0.93

a b c (Å): 7.4698 7.4698 7.4698
angles (deg): 145.85 145.85 49.06
Closest atoms and distances in Å follow each position.
Fractional coordinates of all 5 atoms:
Y 0.0000 0.0000 0.0000  8 Zr 3.39
Zr 0.3985 0.3985 0.0000  1 Zr 2.76, 4 Cd 2.98
Zr 0.6015 0.6015 0.0000  1 Zr 2.76, 4 Cd 2.98
Cd 0.2500 0.7500 0.5000  4 Zr 2.98, 4 Cd 3.10
Cd 0.7500 0.2500 0.5000  4 Zr 2.98, 4 Cd 3.10

***

(9)
Computed, not measured: an optimized crystal structure of ZnHI at the PBE level of DFT.

## Properties
ΔE to the lowest computed polymorph in meV/atom: 184.0
Spin magnetization in μB/cell: 0.00

a b c (Å): 3.5120 4.2855 5.4039
angles (deg): 90.00 108.31 90.00
Closest atoms and distances in Å follow each position.
Fractional coordinates of all 3 atoms:
Zn 0.0000 0.0000 0.0000  2 H 1.83-1.84
H 0.5499 0.0000 0.1049  2 Zn 1.83-1.84
I 0.8486 0.5000 0.6919  2 Zn 2.66

***

(10)
Computed, not measured: an optimized crystal structure of UAlMo2 at the PBE level of DFT.

## Properties
ΔE to the lowest computed polymorph in meV/atom: 0.0
Spin magnetization in μB/cell: 0.00

a b c (Å): 4.4891 4.4891 3.4068
angles (deg): 90.00 90.00 90.00
Closest atoms and distances in Å follow each position.
Fractional coordinates of all 4 atoms:
U 0.0000 0.0000 0.0000  8 Mo 2.82
Al 0.5000 0.5000 0.0000  8 Mo 2.82
Mo 0.0000 0.5000 0.5000  4 U 2.82, 4 Al 2.82
Mo 0.5000 0.0000 0.5000  4 U 2.82, 4 Al 2.82

***

(11)
Computed, not measured: an optimized crystal structure of Th3Cd2In at the PBE level of DFT.

## Properties
Raw total energy in eV/atom: -4.630
Spin magnetization in μB/cell: 0.00

a b c (Å): 3.4337 3.4337 14.1959
angles (deg): 90.00 90.00 90.00
Closest atoms and distances in Å follow each position.
Fractional coordinates of all 6 atoms:
Th 0.0000 0.0000 0.0000  8 Cd 3.39, 4 Th 3.43
Th 0.0000 0.0000 0.3336  4 In 3.39, 4 Cd 3.40, 4 Th 3.43
Th 0.0000 0.0000 0.6664  4 In 3.39, 4 Cd 3.40, 4 Th 3.43
Cd 0.5000 0.5000 0.1663  8 Th 3.39-3.40, 4 Cd 3.43
Cd 0.5000 0.5000 0.8337  8 Th 3.39-3.40, 4 Cd 3.43
In 0.5000 0.5000 0.5000  8 Th 3.39, 4 In 3.43

***

(12)
Computed, not measured: an optimized crystal structure of Tm2MgAl2Rh5 at the PBE level of DFT.

## Properties
Raw total energy in eV/atom: -6.317
Spin magnetization in μB/cell: 0.00

a b c (Å): 9.9225 9.9225 3.4100
angles (deg): 90.00 90.00 90.00
Closest atoms and distances in Å follow each position.
Fractional coordinates of all 20 atoms:
Tm 0.1737 0.3263 0.0000  3 Al 2.81-3.01, 6 Rh 2.97-3.10
Tm 0.3263 0.8263 0.0000  3 Al 2.81-3.01, 6 Rh 2.97-3.10
Tm 0.6737 0.1737 0.0000  3 Al 2.81-3.01, 6 Rh 2.97-3.10
Tm 0.8263 0.6737 0.0000  3 Al 2.81-3.01, 6 Rh 2.97-3.10
Mg 0.0000 0.0000 0.0000  8 Rh 2.75
Mg 0.5000 0.5000 0.0000  8 Rh 2.75
Al 0.1259 0.6259 0.0000  6 Rh 2.45-2.46
Al 0.3741 0.1259 0.0000  6 Rh 2.45-2.46
Al 0.6259 0.8741 0.0000  6 Rh 2.45-2.46
Al 0.8741 0.3741 0.0000  6 Rh 2.45-2.46
Rh 0.0000 0.5000 0.5000  4 Al 2.46
Rh 0.0679 0.7933 0.5000  2 Al 2.45
Rh 0.2067 0.0679 0.5000  2 Al 2.45
Rh 0.2933 0.5679 0.5000  2 Al 2.45
Rh 0.4321 0.2933 0.5000  2 Al 2.45
Rh 0.5000 0.0000 0.5000  4 Al 2.46
Rh 0.5679 0.7067 0.5000  2 Al 2.45
Rh 0.7067 0.4321 0.5000  2 Al 2.45
Rh 0.7933 0.9321 0.5000  2 Al 2.45
Rh 0.9321 0.2067 0.5000  2 Al 2.45

***

(13)
Computed, not measured: an optimized crystal structure of Te2OsIO at the PBE level of DFT.

## Properties
ΔE to the lowest computed polymorph in meV/atom: 3.8
Spin magnetization in μB/cell: 3.16

a b c (Å): 4.3857 4.3857 6.4239
angles (deg): 90.00 90.00 90.00
Closest atoms and distances in Å follow each position.
Fractional coordinates of all 5 atoms:
Te 0.0000 0.5000 0.0000  2 O 2.19
Te 0.5000 0.0000 0.0000  2 O 2.19
Os 0.0000 0.0000 0.5000  4 I 3.10
I 0.5000 0.5000 0.5000  4 Os 3.10, 2 O 3.21
O 0.5000 0.5000 0.0000  4 Te 2.19

***

(14)
Computed, not measured: an optimized crystal structure of Zr2H at the PBE level of DFT.

## Properties
Raw total energy in eV/atom: -7.020
Spin magnetization in μB/cell: 0.00

a b c (Å): 3.2184 3.2184 5.5812
angles (deg): 105.87 105.87 60.51
Closest atoms and distances in Å follow each position.
Fractional coordinates of all 3 atoms:
Zr 0.2481 0.2481 0.2432  3 H 2.28-2.32
Zr 0.7519 0.7519 0.7568  3 H 2.28-2.32
H 0.0000 0.0000 0.5000  6 Zr 2.28-2.32